# 1
VASP calculation (PBE) on an optimized crystal structure of Ac3EuNi.

Cell: 5.854 5.854 5.854 Å, 90.00 90.00 90.00°
Site moments in Bohr magnetons follow the coordinates.
Positions (direct):
Eu  0.500  0.500  0.500  7.00
Ni  0.000  0.000  0.000  0.13
Ac  0.000  0.500  0.000  0.10
Ac  0.000  0.000  0.500  0.10
Ac  0.500  0.000  0.000  0.10

Total energy: -28.6 eV per cell
Formation energy: -0.053 eV per atom
Size of the total moment: 8.701 μB/cell
Space group: No. 221
DOS at the Fermi energy: 1.279 states/eV/atom

***

# 2
VASP calculation (PBE) on an optimized crystal structure of CaIr2Os.

Cell: 4.851 4.851 5.310 Å, 82.29 82.29 33.04°
Positions (direct):
Ca  0.250  0.250  0.250
Ir  0.008  0.008  0.956
Ir  0.492  0.492  0.544
Os  0.750  0.750  0.750

Total energy: -30.0 eV per cell
Formation energy: 0.241 eV per atom
Size of the total moment: 0.000 μB/cell
Excess energy over the best structure of this formula in the dataset: 217 meV per atom
Space group: No. 12
DOS at the Fermi energy: 0.894 states/eV/atom

***

Q: formation energy of number 2 (CaIr2Os)?
A: 0.241 eV per atom